No. 1
PmTm4Se6: relaxed, PBE-GGA.

Properties
calculated density: 7.928 g/cm3
formation energy from raw total energies: -1789 meV per atom
space-group type: Cmcm (63)

The structure in POSCAR format:
```
PmTm4Se6
1.0
1.991 -6.614 0.000
1.991 6.614 0.000
0.000 0.000 20.586
Pm Tm Se
2 8 12
Cartesian
1.991 4.591 15.440 Pm
1.991 -4.591 5.147 Pm
1.991 5.414 2.587 Tm
1.991 5.414 7.707 Tm
1.991 1.855 0.775 Tm
1.991 1.855 9.518 Tm
1.991 -1.855 11.068 Tm
1.991 -1.855 19.811 Tm
1.991 -5.414 12.880 Tm
1.991 -5.414 18.000 Tm
0.000 0.000 0.000 Se
0.000 0.000 10.293 Se
1.991 4.199 5.147 Se
1.991 3.073 12.146 Se
1.991 3.073 18.734 Se
1.991 0.649 3.368 Se
1.991 0.649 6.925 Se
1.991 -0.649 13.661 Se
1.991 -0.649 17.218 Se
1.991 -3.073 1.852 Se
1.991 -3.073 8.441 Se
1.991 -4.199 15.440 Se
```

---

No. 2
Pm3TmSe6: relaxed, PBE-GGA.

Properties
distance to the lowest polymorph of the same formula: 20 meV per atom
calculated density: 6.338 g/cm3
formation energy from raw total energies: -1844 meV per atom
space-group type: P2_1/c (14)

The structure in POSCAR format:
```
Pm3TmSe6
1.0
6.963 0.000 0.000
0.000 7.680 0.000
-6.758 0.000 10.560
Pm Tm Se
6 2 12
Cartesian
0.000 0.000 0.000 Pm
-3.379 3.840 5.280 Pm
-3.013 0.799 7.957 Pm
0.366 3.041 2.677 Pm
-0.161 4.639 7.883 Pm
3.218 6.881 2.603 Pm
0.103 0.000 5.280 Tm
3.482 3.840 0.000 Tm
-1.047 0.447 2.709 Se
-4.426 3.393 7.989 Se
1.247 5.215 0.854 Se
-2.132 6.305 6.134 Se
2.342 1.428 0.830 Se
-1.037 2.412 6.110 Se
1.242 5.268 4.451 Se
-2.137 6.252 9.731 Se
2.337 1.375 4.426 Se
-1.042 2.465 9.706 Se
4.631 4.287 2.571 Se
1.253 7.233 7.852 Se
```

---

No. 3
Pm3TmSe4: relaxed, PBE-GGA.

Properties
distance to the lowest polymorph of the same formula: 0 meV per atom
calculated density: 7.534 g/cm3
formation energy from raw total energies: -1788 meV per atom
space-group type: Cmmm (65)

The structure in POSCAR format:
```
Pm3TmSe4
1.0
8.435 0.000 0.000
0.000 11.755 0.000
0.000 0.000 4.089
Pm Tm Se
6 2 8
Cartesian
0.000 0.000 0.000 Pm
2.109 2.939 2.045 Pm
2.109 8.816 2.045 Pm
4.218 5.877 0.000 Pm
6.326 2.939 2.045 Pm
6.326 8.816 2.045 Pm
0.000 5.877 0.000 Tm
4.218 0.000 0.000 Tm
0.000 3.010 0.000 Se
0.000 8.745 0.000 Se
2.008 5.877 2.045 Se
2.210 0.000 2.045 Se
4.218 2.867 0.000 Se
4.218 8.887 0.000 Se
6.225 0.000 2.045 Se
6.428 5.877 2.045 Se
```

---

No. 4
PmTm4Se5: relaxed, PBE-GGA.

Properties
calculated density: 8.571 g/cm3
formation energy from raw total energies: -1685 meV per atom
space-group type: Immm (71)

The structure in POSCAR format:
```
PmTm4Se5
1.0
-2.021 2.862 10.178
2.021 -2.862 10.178
2.021 2.862 -10.178
Pm Tm Se
1 4 5
Cartesian
0.000 0.000 0.000 Pm
0.000 0.000 4.133 Tm
0.000 0.000 8.171 Tm
0.000 0.000 12.185 Tm
0.000 0.000 16.223 Tm
2.021 0.000 2.163 Se
2.021 0.000 6.143 Se
0.000 2.862 0.000 Se
0.000 2.862 4.035 Se
0.000 2.862 8.015 Se
```

---

No. 5
Pm2Tm2Se5: relaxed, PBE-GGA.

Properties
distance to the lowest polymorph of the same formula: 0 meV per atom
calculated density: 7.765 g/cm3
formation energy from raw total energies: -1720 meV per atom
space-group type: Cmce (64)

The structure in POSCAR format:
```
Pm2Tm2Se5
1.0
7.385 -3.862 0.000
7.385 3.862 0.000
0.000 0.000 7.668
Pm Tm Se
4 4 10
Cartesian
2.924 0.000 0.000 Pm
4.461 0.000 3.834 Pm
10.310 0.000 3.834 Pm
11.846 0.000 0.000 Pm
7.385 2.696 5.029 Tm
7.385 1.166 1.195 Tm
7.385 -1.166 6.473 Tm
7.385 -2.696 2.639 Tm
0.000 0.000 0.000 Se
5.401 2.634 2.648 Se
5.401 1.228 6.482 Se
9.369 2.634 2.648 Se
9.369 1.228 6.482 Se
7.385 0.000 3.834 Se
5.401 -1.228 1.186 Se
5.401 -2.634 5.020 Se
9.369 -1.228 1.186 Se
9.369 -2.634 5.020 Se
```

---

No. 6
Pm3Tm4Se8: relaxed, PBE-GGA.

Properties
calculated density: 7.459 g/cm3
formation energy from raw total energies: -1807 meV per atom
space-group type: C2/m (12)

The structure in POSCAR format:
```
Pm3Tm4Se8
1.0
5.783 -5.789 0.000
5.783 5.789 0.000
-5.747 0.000 5.794
Pm Tm Se
3 4 8
Cartesian
0.000 0.000 0.000 Pm
2.892 2.894 0.000 Pm
2.892 -2.894 0.000 Pm
0.018 2.894 2.897 Tm
0.018 -2.894 2.897 Tm
5.783 0.000 0.000 Tm
2.910 0.000 2.897 Tm
2.910 2.883 2.897 Se
0.023 0.000 2.956 Se
5.783 2.834 0.000 Se
2.952 0.000 0.018 Se
2.867 0.000 5.776 Se
5.783 -2.834 0.000 Se
5.797 0.000 2.838 Se
2.910 -2.883 2.897 Se
```

---

No. 7
Pm2Tm3Se6: relaxed, PBE-GGA.

Properties
distance to the lowest polymorph of the same formula: 0 meV per atom
calculated density: 7.324 g/cm3
formation energy from raw total energies: -1849 meV per atom
space-group type: C2/m (12)

The structure in POSCAR format:
```
Pm2Tm3Se6
1.0
3.532 -6.086 0.000
3.532 6.086 0.000
-2.351 0.000 6.702
Pm Tm Se
2 3 6
Cartesian
3.532 4.080 0.000 Pm
3.532 -4.080 0.000 Pm
-1.175 0.000 3.351 Tm
2.356 2.024 3.351 Tm
2.356 -2.024 3.351 Tm
0.029 1.988 4.955 Se
1.237 0.000 1.729 Se
0.029 -1.988 4.955 Se
4.684 1.988 1.747 Se
3.475 0.000 4.973 Se
4.684 -1.988 1.747 Se
```

---

No. 8
Pm3TmSe6: relaxed, PBE-GGA.

Properties
distance to the lowest polymorph of the same formula: 0 meV per atom
calculated density: 5.777 g/cm3
formation energy from raw total energies: -1864 meV per atom
space-group type: R-3 (148)

The structure in POSCAR format:
```
Pm3TmSe6
1.0
6.091 3.516 4.821
-6.091 3.516 4.821
0.000 -7.033 4.821
Pm Tm Se
6 2 12
Cartesian
-4.120 -1.197 6.735 Pm
-1.024 -4.167 7.728 Pm
-3.096 2.970 7.728 Pm
3.096 -2.970 6.735 Pm
1.024 4.167 6.735 Pm
4.120 1.197 7.728 Pm
0.000 0.000 0.000 Tm
0.000 0.000 7.231 Tm
-3.937 -3.859 7.902 Se
-5.310 1.480 6.561 Se
-1.387 -1.977 5.754 Se
1.373 -5.339 6.561 Se
-2.405 0.213 8.709 Se
-1.019 2.190 5.754 Se
1.019 -2.190 8.709 Se
2.405 -0.213 5.754 Se
-1.373 5.339 7.902 Se
1.387 1.977 8.709 Se
5.310 -1.480 7.902 Se
3.937 3.859 6.561 Se
```

---

No. 9
PmTm2Se5: relaxed, PBE-GGA.

Properties
calculated density: 7.704 g/cm3
formation energy from raw total energies: -1602 meV per atom
space-group type: I4/mcm (140)

The structure in POSCAR format:
```
PmTm2Se5
1.0
-3.791 3.791 6.581
3.791 -3.791 6.581
3.791 3.791 -6.581
Pm Tm Se
2 4 10
Cartesian
0.000 0.000 3.291 Pm
0.000 0.000 9.872 Pm
4.971 1.180 0.000 Tm
1.180 2.611 0.000 Tm
2.611 1.180 6.581 Tm
-1.180 2.611 6.581 Tm
0.000 0.000 0.000 Se
2.615 1.176 -1.912 Se
2.615 -1.176 4.669 Se
2.615 1.176 1.912 Se
2.615 -1.176 8.493 Se
0.000 0.000 6.581 Se
1.176 4.967 -1.912 Se
1.176 2.615 4.669 Se
1.176 4.967 1.912 Se
1.176 2.615 8.493 Se
```

---

No. 10
Pm2Tm3Se6: relaxed, PBE-GGA.

Properties
distance to the lowest polymorph of the same formula: 134 meV per atom
calculated density: 7.092 g/cm3
formation energy from raw total energies: -1715 meV per atom
space-group type: R-3m (166)

The structure in POSCAR format:
```
Pm2Tm3Se6
1.0
2.073 1.197 19.984
-2.073 1.197 19.984
0.000 -2.394 19.984
Pm Tm Se
2 3 6
Cartesian
0.000 0.000 3.302 Pm
0.000 0.000 56.652 Pm
0.000 0.000 13.100 Tm
0.000 0.000 29.977 Tm
0.000 0.000 46.853 Tm
0.000 0.000 8.420 Se
0.000 0.000 18.165 Se
0.000 0.000 25.244 Se
0.000 0.000 34.709 Se
0.000 0.000 41.788 Se
0.000 0.000 51.533 Se
```

---

No. 11
PmTmSe3: relaxed, PBE-GGA.

Properties
distance to the lowest polymorph of the same formula: 0 meV per atom
calculated density: 7.240 g/cm3
formation energy from raw total energies: -1871 meV per atom
space-group type: Pnma (62)

The structure in POSCAR format:
```
PmTmSe3
1.0
7.695 0.000 0.000
0.000 4.103 0.000
0.000 0.000 16.003
Pm Tm Se
4 4 12
Cartesian
1.081 1.026 3.211 Pm
2.767 3.078 11.212 Pm
4.928 1.026 4.791 Pm
6.614 3.078 12.793 Pm
1.758 3.078 7.324 Tm
2.089 1.026 15.326 Tm
5.605 3.078 0.678 Tm
5.937 1.026 8.679 Tm
0.072 1.026 6.321 Se
0.938 3.078 0.994 Se
1.170 1.026 12.567 Se
2.677 3.078 4.565 Se
2.909 1.026 8.995 Se
3.775 3.078 14.323 Se
3.920 1.026 1.680 Se
4.786 3.078 7.008 Se
5.018 1.026 11.438 Se
6.524 3.078 3.436 Se
6.756 1.026 15.010 Se
7.623 3.078 9.682 Se
```

---

No. 12
PmTmSe: relaxed, PBE-GGA.

Properties
distance to the lowest polymorph of the same formula: 0 meV per atom
calculated density: 7.585 g/cm3
formation energy from raw total energies: -1087 meV per atom
space-group type: P3m1 (156)

The structure in POSCAR format:
```
PmTmSe
1.0
3.872 0.000 0.000
-1.936 3.354 0.000
0.000 0.000 6.623
Pm Tm Se
1 1 1
Cartesian
0.000 0.000 0.000 Pm
1.936 1.118 3.697 Tm
0.000 2.236 1.936 Se
```